No. 1
The following is a DFT calculation (PBE) of an optimized crystal structure of PmTe2Pt.

Properties
Density in g/cm³: 7.935
Fermi-level density of states in states/eV/atom: 0.70
Formation energy (no corrections) in eV/atom: -0.29

Lattice parameters (Å, degrees): 9.455 9.455 9.455 24.17 24.17 24.17
Fractional coordinates of all 4 atoms:
Pm: 0.000 0.000 0.000
Te: 0.113 0.113 0.113
Te: 0.887 0.887 0.887
Pt: 0.500 0.500 0.500


No. 2
The following is a DFT calculation (PBE) of an optimized crystal structure of Pm2TePt.

Properties
Density in g/cm³: 8.693
Offset from the most stable computed form in meV/atom: 0.0
Fermi-level density of states in states/eV/atom: 0.50
Formation energy (no corrections) in eV/atom: -1.27

Lattice parameters (Å, degrees): 4.239 4.239 7.910 105.62 105.62 60.05
Fractional coordinates of all 4 atoms:
Pm: 0.238 0.238 0.214
Pm: 0.762 0.762 0.786
Te: 0.000 0.000 0.500
Pt: 0.500 0.500 0.000


No. 3
The following is a DFT calculation (PBE) of an optimized crystal structure of Pm5Te2Pt2.

Properties
Density in g/cm³: 8.861
Fermi-level density of states in states/eV/atom: 0.91
Formation energy (no corrections) in eV/atom: -1.17

Lattice parameters (Å, degrees): 8.919 8.919 8.041 90.00 90.00 53.41
Fractional coordinates of all 18 atoms:
Pm: 0.000 0.000 0.000
Pm: 0.038 0.720 0.658
Pm: 0.220 0.538 0.158
Pm: 0.280 0.962 0.658
Pm: 0.462 0.780 0.158
Pm: 0.500 0.500 0.500
Pm: 0.538 0.220 0.842
Pm: 0.720 0.038 0.342
Pm: 0.780 0.462 0.842
Pm: 0.962 0.280 0.342
Te: 0.205 0.205 0.000
Te: 0.295 0.295 0.500
Te: 0.705 0.705 0.500
Te: 0.795 0.795 0.000
Pt: 0.139 0.861 0.366
Pt: 0.361 0.639 0.866
Pt: 0.639 0.361 0.134
Pt: 0.861 0.139 0.634


No. 4
The following is a DFT calculation (PBE) of an optimized crystal structure of Pm2TePt.

Properties
Density in g/cm³: 8.598
Offset from the most stable computed form in meV/atom: 7.6
Fermi-level density of states in states/eV/atom: 0.20
Formation energy (no corrections) in eV/atom: -1.26

Lattice parameters (Å, degrees): 7.907 7.907 7.907 31.29 31.29 31.29
Fractional coordinates of all 4 atoms:
Pm: 0.000 0.000 0.000
Pm: 0.193 0.193 0.193
Te: 0.430 0.430 0.430
Pt: 0.597 0.597 0.597


No. 5
The following is a DFT calculation (PBE) of an optimized crystal structure of Pm2TePt.

Properties
Density in g/cm³: 9.774
Offset from the most stable computed form in meV/atom: 320.6
Fermi-level density of states in states/eV/atom: 1.13
Formation energy (no corrections) in eV/atom: -0.95

Lattice parameters (Å, degrees): 5.280 5.280 5.280 60.00 60.00 60.00
Fractional coordinates of all 4 atoms:
Pm: 0.250 0.250 0.250
Pm: 0.750 0.750 0.750
Te: 0.000 0.000 0.000
Pt: 0.500 0.500 0.500


No. 6
The following is a DFT calculation (PBE) of an optimized crystal structure of Pm2TePt.

Properties
Density in g/cm³: 9.757
Offset from the most stable computed form in meV/atom: 175.2
Fermi-level density of states in states/eV/atom: 0.82
Formation energy (no corrections) in eV/atom: -1.09

Lattice parameters (Å, degrees): 3.755 3.755 7.396 90.00 90.00 90.00
Fractional coordinates of all 4 atoms:
Pm: 0.000 0.000 0.227
Pm: 0.000 0.000 0.773
Te: 0.500 0.500 0.500
Pt: 0.500 0.500 0.000


No. 7
The following is a DFT calculation (PBE) of an optimized crystal structure of Pm4Te3Pt.

Properties
Density in g/cm³: 7.847
Fermi-level density of states in states/eV/atom: 0.67
Formation energy (no corrections) in eV/atom: -1.34

Lattice parameters (Å, degrees): 7.746 7.746 4.309 90.00 90.00 108.63
Fractional coordinates of all 8 atoms:
Pm: 0.217 0.217 0.500
Pm: 0.240 0.760 0.000
Pm: 0.760 0.240 0.000
Pm: 0.783 0.783 0.500
Te: 0.000 0.500 0.500
Te: 0.500 0.000 0.500
Te: 0.500 0.500 0.000
Pt: 0.000 0.000 0.000


No. 8
The following is a DFT calculation (PBE) of an optimized crystal structure of PmThTePt.

Properties
Density in g/cm³: 9.747
Fermi-level density of states in states/eV/atom: 0.97
Formation energy (no corrections) in eV/atom: -1.20

Lattice parameters (Å, degrees): 8.106 8.106 8.106 30.17 30.17 30.17
Fractional coordinates of all 4 atoms:
Pm: 0.000 0.000 0.000
Th: 0.192 0.192 0.192
Te: 0.763 0.763 0.763
Pt: 0.592 0.592 0.592


No. 9
The following is a DFT calculation (PBE) of an optimized crystal structure of PmThPt4.

Properties
Density in g/cm³: 16.188
Formation energy in kJ/mol of formula units: -607
Fermi-level density of states in states/eV/atom: 0.83

Lattice parameters (Å, degrees): 5.517 5.517 5.517 60.00 60.00 60.00
Fractional coordinates of all 6 atoms:
Pm: 0.000 0.000 0.000
Th: 0.750 0.750 0.750
Pt: 0.375 0.375 0.375
Pt: 0.375 0.375 0.876
Pt: 0.375 0.876 0.375
Pt: 0.876 0.375 0.375


No. 10
The following is a DFT calculation (PBE) of an optimized crystal structure of PmTh4Pt5.

Properties
Density in g/cm³: 13.037
Formation energy in kJ/mol of formula units: -1143
Fermi-level density of states in states/eV/atom: 0.58

Lattice parameters (Å, degrees): 11.034 11.034 11.034 158.01 148.70 38.58
Fractional coordinates of all 10 atoms:
Pm: 0.000 0.000 0.000
Th: 0.199 0.199 0.000
Th: 0.401 0.401 0.000
Th: 0.599 0.599 0.000
Th: 0.801 0.801 0.000
Pt: 0.102 0.602 0.500
Pt: 0.300 0.800 0.500
Pt: 0.500 0.000 0.500
Pt: 0.700 0.200 0.500
Pt: 0.898 0.398 0.500


No. 11
The following is a DFT calculation (PBE) of an optimized crystal structure of Pm2ThPt.

Properties
Density in g/cm³: 10.100
Offset from the most stable computed form in meV/atom: 729.2
Formation energy in kJ/mol of formula units: 50
Fermi-level density of states in states/eV/atom: 0.84

Lattice parameters (Å, degrees): 11.394 11.394 11.394 17.59 17.59 17.59
Fractional coordinates of all 4 atoms:
Pm: 0.080 0.080 0.080
Pm: 0.920 0.920 0.920
Th: 0.500 0.500 0.500
Pt: 0.000 0.000 0.000


No. 12
The following is a DFT calculation (PBE) of an optimized crystal structure of PmThPt.

Properties
Density in g/cm³: 10.468
Offset from the most stable computed form in meV/atom: 133.8
Formation energy in kJ/mol of formula units: -187
Fermi-level density of states in states/eV/atom: 1.13

Lattice parameters (Å, degrees): 7.122 5.993 10.757 90.00 127.76 90.00
Fractional coordinates of all 12 atoms:
Pm: 0.201 0.141 0.376
Pm: 0.201 0.359 0.876
Pm: 0.799 0.641 0.124
Pm: 0.799 0.859 0.624
Th: 0.318 0.639 0.629
Th: 0.318 0.861 0.129
Th: 0.682 0.139 0.871
Th: 0.682 0.361 0.371
Pt: 0.320 0.643 0.362
Pt: 0.320 0.857 0.862
Pt: 0.680 0.143 0.138
Pt: 0.680 0.357 0.638